Record 1
An optimized crystal structure of FePb3Au, computed with GGA-PBE.

Cell and atoms, written as POSCAR:
```
FePb3Au
1.0
5.088 0.000 0.000
0.000 5.088 0.000
0.000 0.000 5.088
Fe Pb Au
1 3 1
Cartesian
0.000 0.000 0.000 Fe
0.000 0.000 2.544 Pb
0.000 2.544 0.000 Pb
2.544 0.000 0.000 Pb
2.544 2.544 2.544 Au
```

Total magnetic moment (Bohr magnetons per cell): 1.0
Formation energy from the elements (meV per atom): 301.7
Electronic total energy (eV per atom): -4.2713
Excess energy over the best structure of this formula in the dataset (eV per formula unit): 0.00
Crystal system: cubic

=====

Record 2
An optimized crystal structure of FePbAu3, computed with GGA-PBE.

Cell and atoms, written as POSCAR:
```
FePbAu3
1.0
4.903 0.000 0.000
0.000 4.903 0.000
0.000 0.000 4.903
Fe Pb Au
1 1 3
Cartesian
0.000 0.000 0.000 Fe
2.452 2.452 2.452 Pb
0.000 0.000 2.452 Au
0.000 2.452 0.000 Au
2.452 0.000 0.000 Au
```

Total magnetic moment (Bohr magnetons per cell): 3.1
Formation energy from the elements (meV per atom): 435.1
Electronic total energy (eV per atom): -3.9655
Excess energy over the best structure of this formula in the dataset (eV per formula unit): 0.00
Crystal system: cubic

=====

Record 3
An optimized crystal structure of FePb2Au, computed with GGA-PBE.

Cell and atoms, written as POSCAR:
```
FePb2Au
1.0
4.407 -1.794 0.000
4.407 1.794 0.000
-1.416 0.000 5.778
Fe Pb Au
1 2 1
Cartesian
0.000 0.000 0.000 Fe
1.184 0.000 4.448 Pb
6.214 0.000 1.330 Pb
3.699 0.000 2.889 Au
```

Total magnetic moment (Bohr magnetons per cell): 2.7
Formation energy from the elements (meV per atom): 435.5
Electronic total energy (eV per atom): -4.3537
Excess energy over the best structure of this formula in the dataset (eV per formula unit): 0.84
Crystal system: monoclinic

=====

Record 4
An optimized crystal structure of FePb2Au, computed with GGA-PBE.

Cell and atoms, written as POSCAR:
```
FePb2Au
1.0
3.892 0.000 0.000
0.000 4.299 0.000
-1.931 0.000 5.409
Fe Pb Au
1 2 1
Cartesian
0.000 0.000 0.000 Fe
0.004 0.000 2.931 Pb
1.940 2.150 0.740 Pb
1.950 2.150 3.813 Au
```

Total magnetic moment (Bohr magnetons per cell): 2.7
Formation energy from the elements (meV per atom): 233.2
Electronic total energy (eV per atom): -4.5560
Excess energy over the best structure of this formula in the dataset (eV per formula unit): 0.03
Crystal system: monoclinic

=====

- Among the records above, which one has the lowest total magnetic moment?
  FePb3Au